1.
First-principles (PBE) data for an optimized crystal structure of KPOsPd, as listed in Alexandria.

Cell lengths 3.8767, 3.8767, 12.2248 Å; angles 90.00, 90.00, 90.00 degrees
Fractional positions:
K  0.2500  0.2500  0.2262
K  0.7500  0.7500  0.7738
P  0.2500  0.2500  0.6096
P  0.7500  0.7500  0.3904
Os  0.2500  0.7500  0.5000
Os  0.7500  0.2500  0.5000
Pd  0.2500  0.7500  0.0000
Pd  0.7500  0.2500  0.0000

## Properties
- calculated total energy (eV/atom) = -5.878
- Fermi-level density of states (states/eV per atom) = 0.58
- energy relative to the elements (eV per atom) = -0.145

=====

2.
First-principles (PBE) data for an optimized crystal structure of KP2OsRh, as listed in Alexandria.

Cell lengths 7.0747, 7.0747, 7.0747 Å; angles 147.24, 147.24, 47.01 degrees
Fractional positions:
K  0.0000  0.0000  0.0000
P  0.3443  0.3443  0.0000
P  0.6557  0.6557  0.0000
Os  0.7500  0.2500  0.5000
Rh  0.2500  0.7500  0.5000

## Properties
- calculated total energy (eV/atom) = -6.719
- Fermi-level density of states (states/eV per atom) = 0.30
- energy relative to the elements (eV per atom) = -0.619